(1)
MgNi2RuW: relaxed, PBE.

Results
formation energy	1770	meV per atom
space group	No. 123
crystal system	tetragonal

Cell and atoms, written as POSCAR:
```
MgNi2RuW
1.0
-1.2596 -4.1480 0.9434
0.8303 -1.3217 -4.7029
4.1884 -1.0374 1.0311
W Ni Ru Mg
1 2 1 1
direct
0.0000 0.0000 0.0000
0.5000 0.0000 0.0000
0.0000 0.0000 0.5000
0.5000 0.5000 0.5000
0.0000 0.5000 0.0000
```

=====

(2)
FeCuPt2: relaxed, PBE.

Results
formation energy	210	meV per atom
space group	No. 122
crystal system	tetragonal

Cell and atoms, written as POSCAR:
```
FeCuPt2
1.0
6.8387 0.0000 0.0000
0.0000 6.8387 0.0000
3.4194 3.4194 2.6708
Pt Cu Fe
4 2 2
direct
0.3750 0.3859 0.7500
0.6141 0.1250 0.2500
0.8750 0.8641 0.7500
0.1359 0.6250 0.2500
0.0000 0.0000 0.0000
0.7500 0.2500 0.5000
0.5000 0.5000 0.0000
0.2500 0.7500 0.5000
```

=====

(3)
GdPaGaRu: relaxed, PBE.

Results
formation energy	-247	meV per atom
space group	No. 216
crystal system	cubic

Cell and atoms, written as POSCAR:
```
GdPaGaRu
1.0
4.9610 0.0000 0.0000
2.4805 4.2964 0.0000
2.4805 1.4321 4.0507
Ga Ru Gd Pa
1 1 1 1
direct
0.2500 0.2500 0.2500
0.7500 0.7500 0.7500
0.0000 0.0000 0.0000
0.5000 0.5000 0.5000
```

=====

(4)
CdReTc: relaxed, PBE.

Results
formation energy	256	meV per atom
space group	No. 107
crystal system	tetragonal

Cell and atoms, written as POSCAR:
```
CdReTc
1.0
-1.7241 5.3267 -2.4287
-3.0740 5.0363 1.5592
4.1922 -4.2950 1.1063
Tc Cd Re
1 1 1
direct
0.6880 0.6880 0.0000
0.0003 0.0003 0.0000
0.3117 0.3117 0.0000
```

=====

(5)
HfReP2S: relaxed, PBE.

Results
ΔE_f (raw)	517	kJ/mol of formula units
space group	No. 123
crystal system	tetragonal

Cell and atoms, written as POSCAR:
```
HfReP2S
1.0
-3.2729 -3.7774 -0.4373
0.7817 -1.2330 4.8000
-3.5222 2.8991 1.3184
P Re S Hf
2 1 1 1
direct
0.5000 0.0000 0.0000
0.0000 0.5000 0.0000
0.5000 0.5000 0.5000
0.0000 0.0000 0.5000
0.0000 0.0000 0.0000
```

=====

(6)
ZnTeSe2S: relaxed, PBE.

Results
ΔE_f (raw)	191	kJ/mol of formula units
space group	No. 123
crystal system	tetragonal

Cell and atoms, written as POSCAR:
```
ZnTeSe2S
1.0
4.9973 0.0000 0.0000
0.0000 4.5567 0.0000
0.0000 0.0000 4.9973
S Te Zn Se
1 1 1 2
direct
0.0000 0.5000 0.0000
0.5000 0.5000 0.5000
0.0000 0.0000 0.0000
0.5000 0.0000 0.0000
0.0000 0.0000 0.5000
```